Density functional theory data (PBE-GGA) for TmCdPbSe3 after structural relaxation.

Geometry as POSCAR:
```
TmCdPbSe3
1.0
2.079 -6.973 0.000
2.079 6.973 0.000
0.000 0.000 10.818
Tm Cd Pb Se
2 2 2 6
Direct
0.000 0.000 0.000
0.000 0.000 0.500
0.453 0.547 0.750
0.547 0.453 0.250
0.242 0.758 0.250
0.758 0.242 0.750
0.082 0.918 0.750
0.360 0.640 0.533
0.360 0.640 0.967
0.640 0.360 0.033
0.640 0.360 0.467
0.918 0.082 0.250
```

Computed properties:
The total energy comes out at -4.1315 eV/atom. Its volume is 313.6 Å³ per cell.

=====

Density functional theory data (PBE-GGA) for NaAlNi after structural relaxation.

Geometry as POSCAR:
```
NaAlNi
1.0
0.000 3.017 3.017
3.017 0.000 3.017
3.017 3.017 0.000
Na Al Ni
1 1 1
Direct
0.000 0.000 0.000
0.500 0.500 0.500
0.750 0.750 0.750
```

Computed properties:
The total energy comes out at -3.2359 eV/atom. Its volume is 54.9 Å³ per cell.

=====

Density functional theory data (PBE-GGA) for CsPtO3 after structural relaxation.

Geometry as POSCAR:
```
CsPtO3
1.0
2.758 1.592 6.486
-2.758 1.592 6.486
0.000 -3.184 6.486
Cs Pt O
2 2 6
Direct
0.137 0.137 0.137
0.863 0.863 0.863
0.334 0.334 0.334
0.666 0.666 0.666
0.055 0.662 0.451
0.338 0.549 0.945
0.451 0.055 0.662
0.549 0.945 0.338
0.662 0.451 0.055
0.945 0.338 0.549
```

Computed properties:
The total energy comes out at -5.0789 eV/atom. Its volume is 170.9 Å³ per cell.

=====

Density functional theory data (PBE-GGA) for GdCd2 after structural relaxation.

Geometry as POSCAR:
```
GdCd2
1.0
0.000 4.162 4.162
4.162 0.000 4.162
4.162 4.162 0.000
Gd Cd
2 4
Direct
0.125 0.125 0.125
0.875 0.875 0.875
0.000 0.500 0.500
0.500 0.000 0.500
0.500 0.500 0.000
0.500 0.500 0.500
```

Computed properties:
The total energy comes out at -2.4317 eV/atom. Its volume is 144.2 Å³ per cell.

=====

Density functional theory data (PBE-GGA) for CoOsAu2 after structural relaxation.

Geometry as POSCAR:
```
CoOsAu2
1.0
0.000 3.155 3.155
3.155 0.000 3.155
3.155 3.155 0.000
Co Os Au
1 1 2
Direct
0.000 0.000 0.000
0.750 0.750 0.750
0.250 0.250 0.250
0.500 0.500 0.500
```

Computed properties:
The total energy comes out at -5.5291 eV/atom. Its volume is 62.8 Å³ per cell.

=====

Density functional theory data (PBE-GGA) for HfBeHgPd after structural relaxation.

Geometry as POSCAR:
```
HfBeHgPd
1.0
0.000 3.209 3.209
3.209 0.000 3.209
3.209 3.209 0.000
Hf Be Hg Pd
1 1 1 1
Direct
0.000 0.000 0.000
0.250 0.250 0.250
0.750 0.750 0.750
0.500 0.500 0.500
```

Computed properties:
The total energy comes out at -4.8376 eV/atom. Its volume is 66.1 Å³ per cell.